Record 1
A plane-wave DFT calculation with PBE-GGA was carried out for a geometry-optimized TmNbNiRu structure.

## Properties
**Space-group type**: F-43m (216)
**Formation energy from the elements**: -234 meV per atom

Cell lengths 4.574, 4.574, 4.574 Å; angles 60.00, 60.00, 60.00 degrees
Atoms (fractional coordinates):
Nb 0.000 0.000 0.000
Tm 0.500 0.500 0.500
Ni 0.250 0.250 0.250
Ru 0.750 0.750 0.750

***

Record 2
A plane-wave DFT calculation with PBE-GGA was carried out for a geometry-optimized Nb2VNi2Ru5 structure.

## Properties
**Space-group type**: P4/mbm (127)
**Formation energy from the elements**: -31 meV per atom

Cell lengths 3.810, 8.721, 8.721 Å; angles 90.00, 90.00, 90.00 degrees
Atoms (fractional coordinates):
Ru 0.500 0.574 0.698
Ru 0.500 0.802 0.926
Ru 0.500 0.698 0.426
Ru 0.500 0.198 0.074
Ru 0.500 0.302 0.574
Ru 0.500 0.926 0.198
Ru 0.500 0.074 0.802
Ru 0.500 0.426 0.302
Ru 0.500 0.500 0.000
Ru 0.500 0.000 0.500
Ni 0.000 0.374 0.126
Ni 0.000 0.626 0.874
Ni 0.000 0.874 0.374
Ni 0.000 0.126 0.626
Nb 0.000 0.331 0.831
Nb 0.000 0.669 0.169
Nb 0.000 0.831 0.669
Nb 0.000 0.169 0.331
V 0.000 0.000 0.000
V 0.000 0.500 0.500

***

Record 3
A plane-wave DFT calculation with PBE-GGA was carried out for a geometry-optimized YNbNiRu structure.

## Properties
**Space-group type**: F-43m (216)
**Formation energy from the elements**: -137 meV per atom

Cell lengths 4.615, 4.615, 4.615 Å; angles 60.00, 60.00, 60.00 degrees
Atoms (fractional coordinates):
Ni 0.500 0.500 0.500
Y 0.750 0.750 0.750
Nb 0.250 0.250 0.250
Ru 0.000 0.000 0.000

***

Record 4
A plane-wave DFT calculation with PBE-GGA was carried out for a geometry-optimized NbZnNiRu structure.

## Properties
**Space-group type**: F-43m (216)
**Formation energy from the elements**: -195 meV per atom
**Energy relative to the lowest polymorph listed for this composition**: 0.038 eV/atom

Cell lengths 4.329, 4.329, 4.329 Å; angles 60.00, 60.00, 60.00 degrees
Atoms (fractional coordinates):
Nb 0.500 0.500 0.500
Ru 0.750 0.750 0.750
Ni 0.250 0.250 0.250
Zn 0.000 0.000 0.000

***

Record 5
A plane-wave DFT calculation with PBE-GGA was carried out for a geometry-optimized NbZnNiRu structure.

## Properties
**Space-group type**: I-4m2 (119)
**Formation energy from the elements**: -233 meV per atom
**Energy relative to the lowest polymorph listed for this composition**: 0.000 eV/atom

Cell lengths 3.990, 3.990, 4.552 Å; angles 116.00, 115.99, 90.00 degrees
Atoms (fractional coordinates):
Ni 0.250 0.750 0.500
Nb 0.000 0.000 0.000
Ru 0.750 0.250 0.500
Zn 0.500 0.500 0.000

***

Record 6
A plane-wave DFT calculation with PBE-GGA was carried out for a geometry-optimized ZrNbNiRu structure.

## Properties
**Space-group type**: F-43m (216)
**Formation energy from the elements**: -262 meV per atom

Cell lengths 4.525, 4.525, 4.525 Å; angles 60.00, 60.00, 60.00 degrees
Atoms (fractional coordinates):
Nb 0.000 0.000 0.000
Ru 0.750 0.750 0.750
Ni 0.250 0.250 0.250
Zr 0.500 0.500 0.500

***

Record 7
A plane-wave DFT calculation with PBE-GGA was carried out for a geometry-optimized Nb2NiS4 structure.

## Properties
**Space-group type**: Pnma (62)
**Energy relative to the elements, uncorrected**: -450 kJ/mol of formula units

Cell lengths 3.347, 10.046, 13.363 Å; angles 90.00, 90.00, 90.00 degrees
Atoms (fractional coordinates):
S 0.750 0.451 0.917
S 0.750 0.624 0.758
S 0.750 0.124 0.742
S 0.250 0.549 0.083
S 0.250 0.376 0.242
S 0.250 0.049 0.417
S 0.250 0.870 0.818
S 0.250 0.370 0.682
S 0.250 0.197 0.987
S 0.750 0.630 0.318
S 0.250 0.876 0.258
S 0.750 0.951 0.583
S 0.250 0.697 0.513
S 0.750 0.303 0.487
S 0.750 0.130 0.182
S 0.750 0.803 0.013
Ni 0.250 0.226 0.819
Ni 0.250 0.726 0.681
Ni 0.750 0.774 0.181
Ni 0.750 0.274 0.319
Nb 0.750 0.361 0.097
Nb 0.250 0.139 0.597
Nb 0.750 0.512 0.594
Nb 0.250 0.488 0.406
Nb 0.750 0.861 0.403
Nb 0.250 0.639 0.903
Nb 0.750 0.012 0.906
Nb 0.250 0.988 0.094

***

Record 8
A plane-wave DFT calculation with PBE-GGA was carried out for a geometry-optimized Nb2NiS4 structure.

## Properties
**Space-group type**: I4/mmm (139)
**Energy relative to the elements, uncorrected**: -41 kJ/mol of formula units

Cell lengths 4.274, 4.274, 7.314 Å; angles 73.01, 73.01, 90.00 degrees
Last column: magnetic moment on the atom in μB.
Atoms (fractional coordinates):
S 0.500 0.000 0.000  -0.06
S 0.000 0.500 0.000  -0.06
S 0.194 0.194 0.612  -0.08
S 0.806 0.806 0.388  -0.08
Nb 0.622 0.622 0.756  1.27
Nb 0.378 0.378 0.244  1.27
Ni 0.000 0.000 0.000  0.00

***

Record 9
A plane-wave DFT calculation with PBE-GGA was carried out for a geometry-optimized NbNiS4 structure.

## Properties
**Space-group type**: P2_1/c (14)
**Energy relative to the elements, uncorrected**: -232 kJ/mol of formula units

Cell lengths 6.328, 5.575, 5.948 Å; angles 90.00, 96.40, 90.00 degrees
Atoms (fractional coordinates):
S 0.585 0.627 0.612
S 0.144 0.371 0.844
S 0.356 0.871 0.156
S 0.085 0.873 0.612
S 0.856 0.629 0.156
S 0.644 0.129 0.844
S 0.915 0.127 0.388
S 0.415 0.373 0.388
Nb 0.500 0.500 0.000
Nb 0.000 0.000 0.000
Ni 0.000 0.500 0.500
Ni 0.500 0.000 0.500

***

Record 10
A plane-wave DFT calculation with PBE-GGA was carried out for a geometry-optimized Nb3NiS4 structure.

## Properties
**Space-group type**: Pmn2_1 (31)
**Energy relative to the elements, uncorrected**: -490 kJ/mol of formula units

Cell lengths 6.258, 6.709, 6.818 Å; angles 90.00, 90.00, 90.00 degrees
Atoms (fractional coordinates):
Nb 0.054 0.618 0.262
Nb 0.437 0.774 0.000
Nb 0.554 0.382 0.762
Nb 0.937 0.226 0.500
Nb 0.554 0.382 0.238
Nb 0.054 0.618 0.738
S 0.605 0.116 0.000
S 0.677 0.715 0.265
S 0.572 0.120 0.500
S 0.677 0.715 0.735
S 0.177 0.285 0.235
S 0.105 0.884 0.500
S 0.072 0.880 0.000
S 0.177 0.285 0.765
Ni 0.438 0.785 0.500
Ni 0.938 0.215 0.000

***

Record 11
A plane-wave DFT calculation with PBE-GGA was carried out for a geometry-optimized NbNi2S3 structure.

## Properties
**Space-group type**: Pmmn (59)
**Energy relative to the elements, uncorrected**: -294 kJ/mol of formula units

Cell lengths 3.740, 4.731, 10.627 Å; angles 90.00, 90.00, 90.00 degrees
Atoms (fractional coordinates):
S 0.473 0.000 0.500
S 0.103 0.500 0.664
S 0.897 0.000 0.164
S 0.897 0.000 0.836
S 0.103 0.500 0.336
S 0.527 0.500 0.000
Ni 0.961 0.000 0.623
Ni 0.039 0.500 0.877
Ni 0.961 0.000 0.377
Ni 0.039 0.500 0.123
Nb 0.342 0.000 0.000
Nb 0.658 0.500 0.500

***

Record 12
A plane-wave DFT calculation with PBE-GGA was carried out for a geometry-optimized Nb3NiS structure.

## Properties
**Space-group type**: Pm-3m (221)
**Energy relative to the lowest polymorph listed for this composition**: 0.000 eV/atom
**Energy relative to the elements, uncorrected**: 185 kJ/mol of formula units

Cell lengths 4.536, 4.536, 4.536 Å; angles 90.00, 90.00, 90.00 degrees
Atoms (fractional coordinates):
Ni 0.500 0.500 0.500
Nb 0.500 0.000 0.000
Nb 0.000 0.000 0.500
Nb 0.000 0.500 0.000
S 0.000 0.000 0.000